The following is a GGA-PBE calculation of crystalline CaEr2Ti at its relaxed geometry, from Alexandria via LeMat-Bulk.

Summary:
calculated total energy = -4.225 eV per atom
total moment = 1.76 μB/f.u.

Cell lengths 12.188, 12.188, 12.188 Å; angles 15.86, 15.86, 15.86 degrees
Element x y z (fractional)
Ca 0.000 0.000 0.000
Er 0.420 0.420 0.420
Er 0.580 0.580 0.580
Ti 0.500 0.500 0.500